# 1
This record from the Alexandria database describes a relaxed Er2CrSiO6 crystal. The functional is PBE+U.

Energy (eV/atom): -7.80

abc: 5.2204 5.2204 4.2901
angles: 90.00 90.00 90.00
With the nearest neighbours (Å) after each atom.
Space group P4mm (No. 99)
Inequivalent atoms, fractional coordinates:
Er  0.0000  0.5000  0.0000 [2 per cell]  4 O 2.26
Cr  0.0000  0.0000  0.6040 [1 per cell]  6 O 2.05-2.23
Si  0.5000  0.5000  0.5904 [1 per cell]  5 O 1.66-1.74
O  0.0000  0.0000  0.1237 [1 per cell]  2 Cr 2.06-2.23
O  0.2727  0.2727  0.6971 [4 per cell]  1 Si 1.74
O  0.5000  0.5000  0.2045 [1 per cell]  1 Si 1.66


# 2
This record from the Alexandria database describes a relaxed SmErCr2O8 crystal. The functional is PBE+U.

Energy (eV/atom): -7.65

abc: 7.2587 7.2587 6.3180
angles: 90.00 90.00 90.00
With the nearest neighbours (Å) after each atom.
Space group I-4m2 (No. 119)
Inequivalent atoms, fractional coordinates:
Sm  0.0000  0.0000  0.0000 [2 per cell]  8 O 2.37-2.48
Er  0.0000  0.5000  0.7500 [2 per cell]  8 O 2.33-2.43
Cr  0.0000  0.0000  0.5000 [2 per cell]  4 O 1.73
Cr  0.0000  0.5000  0.2500 [2 per cell]  4 O 1.72
O  0.0000  0.1862  0.6704 [8 per cell]  1 Cr 1.73
O  0.0000  0.3196  0.0733 [8 per cell]  1 Cr 1.72


# 3
This record from the Alexandria database describes a relaxed ErCr2SnO6 crystal. The functional is PBE+U.

Energy (eV/atom): -7.49

abc: 5.3378 5.4538 5.6481
angles: 61.95 89.95 61.65
With the nearest neighbours (Å) after each atom.
Space group P1 (No. 1)
Inequivalent atoms, fractional coordinates:
Er  0.0000  0.0000  0.0000 [1 per cell]  5 O 2.16-2.32
Cr  0.2945  0.4230  0.8787 [1 per cell]  6 O 2.02-2.09
Cr  0.7839  0.4385  0.3609 [1 per cell]  5 O 2.07-2.25
Sn  0.5002  0.0102  0.4884 [1 per cell]  6 O 2.05-2.24
O  0.1000  0.5004  0.1702 [1 per cell]  2 Cr 2.05-2.08, 1 Er 2.19, 1 Sn 2.24
O  0.2246  0.8792  0.6881 [1 per cell]  1 Cr 2.02, 1 Sn 2.05
O  0.3936  0.9616  0.1572 [1 per cell]  2 Cr 2.03-2.25, 1 Sn 2.12, 1 Er 2.16
O  0.5697  0.2446  0.6621 [1 per cell]  2 Cr 2.09-2.18, 1 Sn 2.09, 1 Er 2.32
O  0.6680  0.2478  0.1696 [1 per cell]  2 Cr 2.07-2.08, 1 Sn 2.15, 1 Er 2.20
O  0.9006  0.5450  0.6568 [1 per cell]  2 Cr 2.08-2.19, 1 Sn 2.12


# 4
This record from the Alexandria database describes a relaxed ErTaCrO6 crystal. The functional is PBE+U.

Energy (eV/atom): -8.57

abc: 4.7938 4.7938 9.4918
angles: 90.00 90.00 90.00
With the nearest neighbours (Å) after each atom.
Space group P4_2nm (No. 102)
Inequivalent atoms, fractional coordinates:
Er  0.0000  0.0000  0.0000 [2 per cell]  6 O 2.18-2.30
Ta  0.0000  0.0000  0.3384 [2 per cell]  6 O 1.99-2.03
Cr  0.0000  0.0000  0.6710 [2 per cell]  6 O 1.95-1.99
O  0.1781  0.1781  0.5075 [4 per cell]  1 Cr 1.97, 1 Ta 2.01, 1 Er 2.18
O  0.2075  0.2075  0.8196 [4 per cell]  1 Ta 1.99, 1 Cr 1.99, 1 Er 2.22
O  0.2136  0.2136  0.1886 [4 per cell]  1 Cr 1.95, 1 Ta 2.03


# 5
This record from the Alexandria database describes a relaxed ErTaCr2O6 crystal. The functional is PBE+U.

Energy (eV/atom): -8.53

abc: 5.2994 5.3054 5.6747
angles: 89.58 65.16 60.09
With the nearest neighbours (Å) after each atom.
Space group P1 (No. 1)
Inequivalent atoms, fractional coordinates:
Er  0.0000  0.0000  0.0000 [1 per cell]  5 O 2.17-2.34
Ta  0.9973  0.4986  0.5295 [1 per cell]  5 O 1.93-2.08
Cr  0.5737  0.2097  0.5979 [1 per cell]  6 O 2.03-2.16
Cr  0.5744  0.7128  0.1250 [1 per cell]  4 O 2.08-2.21
O  0.0448  0.7960  0.3508 [1 per cell]  1 Ta 1.93, 1 Cr 2.16
O  0.1067  0.5796  0.8102 [1 per cell]  1 Ta 2.02, 1 Cr 2.03, 1 Er 2.17
O  0.4473  0.1220  0.3191 [1 per cell]  1 Ta 2.00, 2 Cr 2.08-2.09
O  0.5038  0.9062  0.8075 [1 per cell]  2 Cr 2.08-2.14, 1 Er 2.19, 1 Ta 2.22
O  0.7670  0.3274  0.8071 [1 per cell]  1 Ta 2.07, 2 Cr 2.13-2.21, 1 Er 2.17
O  0.7766  0.4162  0.3368 [1 per cell]  1 Ta 2.08, 2 Cr 2.09-2.11


# 6
This record from the Alexandria database describes a relaxed ErCr2TeO8 crystal. The functional is PBE+U.

Energy (eV/atom): -7.02

abc: 6.6008 6.6892 6.4092
angles: 90.00 90.00 90.00
With the nearest neighbours (Å) after each atom.
Space group Cmmm (No. 65)
Inequivalent atoms, fractional coordinates:
Er  0.0000  0.0000  0.0000 [2 per cell]  6 O 2.18-2.20
Cr  0.0000  0.5000  0.2494 [4 per cell]  6 O 1.98-2.10
Te  0.0000  0.0000  0.5000 [2 per cell]  6 O 1.94-2.00
O  0.0000  0.2989  0.5000 [4 per cell]  1 Te 2.00, 2 Cr 2.10
O  0.0000  0.3257  0.0000 [4 per cell]  2 Cr 1.98, 1 Er 2.18
O  0.1980  0.0000  0.2762 [8 per cell]  1 Te 1.94, 1 Cr 2.00


# 7
This record from the Alexandria database describes a relaxed Er2CrTeO8 crystal. The functional is PBE+U.

Energy (eV/atom): -7.14

abc: 6.7677 7.0963 6.4300
angles: 90.00 90.00 90.00
With the nearest neighbours (Å) after each atom.
Space group Cmmm (No. 65)
Inequivalent atoms, fractional coordinates:
Er  0.0000  0.0000  0.2444 [4 per cell]  6 O 2.19-2.29
Cr  0.0000  0.5000  0.0000 [2 per cell]  2 O 1.87
Te  0.0000  0.5000  0.5000 [2 per cell]  6 O 1.92-1.99
O  0.0000  0.3227  0.2605 [8 per cell]  1 Te 1.99, 1 Cr 2.09
O  0.2157  0.0000  0.5000 [4 per cell]  1 Te 1.92
O  0.2244  0.0000  0.0000 [4 per cell]  1 Cr 1.87


# 8
This record from the Alexandria database describes a relaxed ErTiCr2O6 crystal. The functional is PBE+U.

Energy (eV/atom): -8.32

abc: 5.2145 5.2862 5.6133
angles: 63.77 89.87 60.79
With the nearest neighbours (Å) after each atom.
Space group P1 (No. 1)
Inequivalent atoms, fractional coordinates:
Er  0.0000  0.0000  0.0000 [1 per cell]  5 O 2.16-2.34
Ti  0.5176  0.9711  0.5383 [1 per cell]  5 O 1.89-2.09
Cr  0.2166  0.5722  0.6240 [1 per cell]  6 O 1.98-2.07
Cr  0.7203  0.5548  0.1511 [1 per cell]  5 O 2.08-2.33
O  0.1701  0.0256  0.3640 [1 per cell]  1 Ti 1.89, 1 Cr 2.07
O  0.3247  0.1020  0.8095 [1 per cell]  1 Cr 1.98, 1 Ti 2.01, 1 Er 2.16
O  0.4370  0.4222  0.3601 [1 per cell]  1 Ti 1.94, 2 Cr 2.07-2.08
O  0.5848  0.4956  0.8343 [1 per cell]  2 Cr 2.02-2.12, 1 Ti 2.16, 1 Er 2.18
O  0.8118  0.7661  0.3574 [1 per cell]  1 Ti 1.98, 2 Cr 2.07-2.12
O  0.9218  0.7378  0.8327 [1 per cell]  2 Cr 2.02-2.17, 1 Ti 2.09, 1 Er 2.16


# 9
This record from the Alexandria database describes a relaxed Er2TiCrO6 crystal. The functional is PBE+U.

Energy (eV/atom): -8.26

abc: 5.1759 5.1759 5.0042
angles: 90.00 90.00 90.00
With the nearest neighbours (Å) after each atom.
Space group P4mm (No. 99)
Inequivalent atoms, fractional coordinates:
Er  0.0000  0.5000  0.0000 [2 per cell]  4 O 2.24
Ti  0.0000  0.0000  0.5933 [1 per cell]  5 O 1.84-1.91
Cr  0.5000  0.5000  0.5954 [1 per cell]  5 O 2.04-2.15
O  0.0000  0.0000  0.2252 [1 per cell]  1 Ti 1.84
O  0.2403  0.2403  0.7427 [4 per cell]  1 Ti 1.91, 1 Cr 2.04
O  0.5000  0.5000  0.1663 [1 per cell]  1 Cr 2.15


# 10
This record from the Alexandria database describes a relaxed ErTlCr2O8 crystal. The functional is PBE+U.

Energy (eV/atom): -6.87

abc: 5.7777 5.7777 7.7996
angles: 90.00 90.00 120.00
With the nearest neighbours (Å) after each atom.
Space group P-3m1 (No. 164)
Inequivalent atoms, fractional coordinates:
Er  0.0000  0.0000  0.0000 [1 per cell]  6 O 2.22
Tl  0.0000  0.0000  0.5000 [1 per cell]  12 O 3.07-3.35
Cr  0.3333  0.6667  0.7534 [2 per cell]  4 O 1.62-1.68
O  0.1746  0.3492  0.8234 [6 per cell]  1 Cr 1.68
O  0.3333  0.6667  0.5454 [2 per cell]  1 Cr 1.62


# 11
This record from the Alexandria database describes a relaxed ErTmCr2O8 crystal. The functional is PBE+U.

Energy (eV/atom): -7.65

abc: 7.1377 7.1377 6.2460
angles: 90.00 90.00 90.00
With the nearest neighbours (Å) after each atom.
Space group I-4m2 (No. 119)
Inequivalent atoms, fractional coordinates:
Er  0.0000  0.0000  0.0000 [2 per cell]  8 O 2.29-2.42
Tm  0.0000  0.5000  0.2500 [2 per cell]  8 O 2.29-2.41
Cr  0.0000  0.0000  0.5000 [2 per cell]  4 O 1.72
Cr  0.0000  0.5000  0.7500 [2 per cell]  4 O 1.72
O  0.0000  0.1860  0.3240 [8 per cell]  1 Cr 1.72
O  0.0000  0.3150  0.9271 [8 per cell]  1 Cr 1.72


# 12
This record from the Alexandria database describes a relaxed ErZnCrO4 crystal. The functional is PBE+U.

Energy (eV/atom): -7.07

abc: 6.1619 6.4694 8.8074
angles: 90.00 90.00 90.00
With the nearest neighbours (Å) after each atom.
Space group Imma (No. 74)
Inequivalent atoms, fractional coordinates:
Er  0.0000  0.0000  0.0000 [4 per cell]  6 O 2.21-2.24
Zn  0.0000  0.2500  0.3829 [4 per cell]  4 O 1.98-2.15
Cr  0.2500  0.2500  0.7500 [4 per cell]  6 O 2.05-2.09
O  0.0000  0.0316  0.7469 [8 per cell]  2 Cr 2.09, 1 Zn 2.15, 1 Er 2.24
O  0.2422  0.2500  0.9824 [8 per cell]  1 Zn 1.98, 1 Cr 2.05, 2 Er 2.21